Record 1
Density functional theory data (PBEsol) for SrAl2Si after structural relaxation.

The structure belongs to space group Pmm2 (No. 25); the cell edges are 3.4342, 3.6157 and 6.8734 Å and the angles 90.00°, 90.00° and 90.00°. Symmetry generates all atoms from Sr at (0.0000, 0.0000, 0.0000), Al at (0.0000, 0.0000, 0.5271), Al at (0.5000, 0.5000, 0.3265) and Si at (0.5000, 0.5000, 0.6888).

The value obtained for the total DFT energy (no corrections) is -16.26 eV for the cell shown. As for the crystal system: orthorhombic. As for the uncorrected formation energy: -11.7 kJ per mole of atoms.

Record 2
Density functional theory data (PBEsol) for SrAlSi after structural relaxation.

The structure belongs to space group P-6m2 (No. 187); the cell edges are 4.2374, 4.2374 and 4.6631 Å and the angles 90.00°, 90.00° and 120.00°. Symmetry generates all atoms from Sr at (0.0000, 0.0000, 0.0000), Al at (0.6667, 0.3333, 0.5000) and Si at (0.3333, 0.6667, 0.5000).

The value obtained for the total DFT energy (no corrections) is -12.92 eV for the cell shown. As for the crystal system: hexagonal. As for the uncorrected formation energy: -40.0 kJ per mole of atoms.

Record 3
Density functional theory data (PBEsol) for SrAlSi2 after structural relaxation.

The structure belongs to space group P4/mmm (No. 123); the cell edges are 4.3993, 4.3993 and 4.1218 Å and the angles 90.00°, 90.00° and 90.00°. Symmetry generates all atoms from Sr at (0.0000, 0.0000, 0.0000), Al at (0.5000, 0.5000, 0.0000) and Si at (0.0000, 0.5000, 0.5000).

The value obtained for the total DFT energy (no corrections) is -17.28 eV for the cell shown. As for the crystal system: tetragonal. As for the uncorrected formation energy: 3.5 kJ per mole of atoms.

Record 4
Density functional theory data (PBEsol) for SrAlSi2 after structural relaxation.

The structure belongs to space group P4mm (No. 99); the cell edges are 3.4388, 3.4388 and 6.8702 Å and the angles 90.00°, 90.00° and 90.00°. Symmetry generates all atoms from Sr at (0.0000, 0.0000, 0.0000), Al at (0.5000, 0.5000, 0.3317), Si at (0.0000, 0.0000, 0.5345) and Si at (0.5000, 0.5000, 0.6868).

The value obtained for the total DFT energy (no corrections) is -17.75 eV for the cell shown. As for the crystal system: tetragonal. As for the uncorrected formation energy: -7.8 kJ per mole of atoms.

Record 5
Density functional theory data (PBEsol) for TaAlSi after structural relaxation.

The structure belongs to space group P3_212 (No. 153); the cell edges are 4.8587, 4.8587 and 6.7263 Å and the angles 90.00°, 90.00° and 120.00°. Symmetry generates all atoms from Ta at (0.1848, 0.3696, 0.3333), Al at (0.3152, 0.1576, 0.0000) and Si at (0.5131, 0.0263, 0.3333).

The value obtained for the total DFT energy (no corrections) is -70.64 eV for the cell shown. As for the crystal system: trigonal. As for the uncorrected formation energy: -37.2 kJ per mole of atoms.

Record 6
Density functional theory data (PBEsol) for TaAlSi2 after structural relaxation.

The structure belongs to space group C2/m (No. 12); the cell edges are 5.4938, 7.7634 and 2.8456 Å and the angles 90.00°, 99.39° and 90.00°. Symmetry generates all atoms from Ta at (0.0000, 0.0000, 0.0000), Al at (0.0000, 0.5000, 0.0000) and Si at (0.2500, 0.2500, 0.5000).

The value obtained for the total DFT energy (no corrections) is -56.52 eV for the cell shown. As for the crystal system: monoclinic. As for the uncorrected formation energy: -3.0 kJ per mole of atoms.

Record 7
Density functional theory data (PBEsol) for TaAlSi after structural relaxation.

The structure belongs to space group Fmm2 (No. 42); the cell edges are 3.6144, 4.2215 and 12.2780 Å and the angles 90.00°, 90.00° and 90.00°. Symmetry generates all atoms from Ta at (0.0000, 0.0000, 0.0000), Al at (0.0000, 0.0000, 0.3288) and Si at (0.0000, 0.0000, 0.6591).

The value obtained for the total DFT energy (no corrections) is -89.85 eV for the cell shown. As for the crystal system: orthorhombic. As for the uncorrected formation energy: -2.4 kJ per mole of atoms.

Record 8
Density functional theory data (PBEsol) for TaAl2Si after structural relaxation.

The structure belongs to space group Cmm2 (No. 35); the cell edges are 3.6821, 4.1933 and 8.1780 Å and the angles 90.00°, 90.00° and 90.00°. Symmetry generates all atoms from Ta at (0.0000, 0.0000, 0.0000), Al at (0.0000, 0.0000, 0.4861), Al at (0.0000, 0.5000, 0.7450) and Si at (0.0000, 0.5000, 0.2392).

The value obtained for the total DFT energy (no corrections) is -53.54 eV for the cell shown. As for the crystal system: orthorhombic. As for the uncorrected formation energy: -7.0 kJ per mole of atoms.

Record 9
Density functional theory data (PBEsol) for Tb2Al3Si2 after structural relaxation.

The structure belongs to space group C2/m (No. 12); the cell edges are 10.1114, 4.0303 and 6.5551 Å and the angles 90.00°, 101.05° and 90.00°. Symmetry generates all atoms from Tb at (0.1193, 0.0000, 0.3228), Al at (0.0000, 0.5000, 0.0000), Al at (0.1946, 0.0000, 0.8666) and Si at (0.0929, 0.5000, 0.6403).

The value obtained for the total DFT energy (no corrections) is -75.96 eV for the cell shown. As for the crystal system: monoclinic. As for the uncorrected formation energy: -57.8 kJ per mole of atoms.

Record 10
Density functional theory data (PBEsol) for Tb12Al7Si after structural relaxation.

The structure belongs to space group I4/mcm (No. 140); the cell edges are 11.5332, 11.5332 and 15.1482 Å and the angles 90.00°, 90.00° and 90.00°. Symmetry generates all atoms from Tb at (0.0000, 0.5000, 0.1490), Tb at (0.0634, 0.1988, 0.1364), Tb at (0.1714, 0.3286, 0.5000), Al at (0.0000, 0.0000, 0.0000), Al at (0.1180, 0.3820, 0.0000), Al at (0.1781, 0.3219, 0.2954) and Si at (0.0000, 0.0000, 0.2500).

The value obtained for the total DFT energy (no corrections) is -407.05 eV for the cell shown. As for the crystal system: tetragonal. As for the uncorrected formation energy: -35.0 kJ per mole of atoms.

Record 11
Density functional theory data (PBEsol) for AlSiTc2 after structural relaxation.

The structure belongs to space group C2/m (No. 12); the cell edges are 8.2445, 2.8644 and 4.8086 Å and the angles 90.00°, 103.27° and 90.00°. Symmetry generates all atoms from Al at (0.0000, 0.0000, 0.0000), Si at (0.0000, 0.5000, 0.5000) and Tc at (0.2374, 0.0000, 0.7333).

The value obtained for the total DFT energy (no corrections) is -66.43 eV for the cell shown. Its energy relative to the lowest polymorph listed for this composition is 0.163 eV per atom. As for the crystal system: monoclinic. As for the uncorrected formation energy: -20.3 kJ per mole of atoms.

Record 12
Density functional theory data (PBEsol) for Al2SiTc after structural relaxation.

The structure belongs to space group C2/m (No. 12); the cell edges are 9.1204, 2.8240 and 4.4097 Å and the angles 90.00°, 96.54° and 90.00°. Symmetry generates all atoms from Al at (0.2415, 0.0000, 0.2438), Si at (0.0000, 0.0000, 0.5000) and Tc at (0.0000, 0.5000, 0.0000).

The value obtained for the total DFT energy (no corrections) is -51.52 eV for the cell shown. As for the crystal system: monoclinic. As for the uncorrected formation energy: -13.6 kJ per mole of atoms.

Record 13
Density functional theory data (PBEsol) for AlSiTc2 after structural relaxation.

The structure belongs to space group F-43m (No. 216); the cell edges are 6.0058, 6.0058 and 6.0058 Å and the angles 90.00°, 90.00° and 90.00°. Symmetry generates all atoms from Al at (0.0000, 0.0000, 0.0000), Si at (0.2500, 0.2500, 0.7500), Tc at (0.0000, 0.0000, 0.5000) and Tc at (0.2500, 0.2500, 0.2500).

The value obtained for the total DFT energy (no corrections) is -130.55 eV for the cell shown. Its energy relative to the lowest polymorph listed for this composition is 0.307 eV per atom. As for the crystal system: cubic. As for the uncorrected formation energy: -6.4 kJ per mole of atoms.